A geometry-optimized TaGe3Ir structure. Source: Alexandria via LeMat-Bulk, functional PBE.

a b c (Å): 4.9298 4.9298 4.9298
angles (deg): 90.00 90.00 90.00
Last column: nearest neighbours and their distance in Å.
Fractional positions:
Ta 0.0000 0.0000 0.0000  6 Ge 2.46
Ge 0.0000 0.0000 0.5000  2 Ta 2.46
Ge 0.0000 0.5000 0.0000  2 Ta 2.46
Ge 0.5000 0.0000 0.0000  2 Ta 2.46
Ir 0.5000 0.5000 0.5000  12 Ge 3.49

Computed properties:
Uncorrected energy = -28.17 eV per formula unit
Formation enthalpy at 0 K = 1.280 eV/atom



A geometry-optimized TaGeIr3 structure. Source: Alexandria via LeMat-Bulk, functional PBE.

a b c (Å): 4.5063 4.5063 4.5063
angles (deg): 90.00 90.00 90.00
Last column: nearest neighbours and their distance in Å.
Fractional positions:
Ta 0.0000 0.0000 0.0000  12 Ir 3.19
Ge 0.5000 0.5000 0.5000  6 Ir 2.25
Ir 0.0000 0.5000 0.5000  2 Ge 2.25
Ir 0.5000 0.0000 0.5000  2 Ge 2.25
Ir 0.5000 0.5000 0.0000  2 Ge 2.25

Computed properties:
Uncorrected energy = -37.76 eV per formula unit
Formation enthalpy at 0 K = 1.059 eV/atom



A geometry-optimized TaGe2Ir structure. Source: Alexandria via LeMat-Bulk, functional PBE.

a b c (Å): 9.3744 9.3744 9.3744
angles (deg): 18.18 18.18 18.18
Last column: nearest neighbours and their distance in Å.
Fractional positions:
Ta 0.0000 0.0000 0.0000  2 Ge 2.66, 6 Ta 2.96
Ge 0.0960 0.0960 0.0960  3 Ir 2.60, 1 Ta 2.66
Ge 0.9040 0.9040 0.9040  3 Ir 2.60, 1 Ta 2.66
Ir 0.5000 0.5000 0.5000  6 Ge 2.60

Computed properties:
Uncorrected energy = -29.33 eV per formula unit
Formation enthalpy at 0 K = 0.155 eV/atom